i:
This record from the Alexandria database describes a relaxed KHfTe3 crystal. The functional is PBE-GGA.

- mass density (g/cm³) = 5.670
- space group = No. 47
- Fermi-level density of states (states/eV/cell) = 3.6
- spin magnetization (Bohr magnetons per cell) = 0.000

a b c (Å): 4.114 5.609 7.620
angles (deg): 90.00 90.00 90.00
Positions (direct):
K1 0.000 0.500 0.500
Hf1 0.000 0.000 0.000
Te1 0.500 0.000 0.267
Te2 0.500 0.000 0.733
Te3 0.000 0.500 0.000

ii:
This record from the Alexandria database describes a relaxed KHfTe3 crystal. The functional is PBE-GGA.

- mass density (g/cm³) = 5.516
- space group = No. 221
- Fermi-level density of states (states/eV/cell) = 2.2
- spin magnetization (Bohr magnetons per cell) = 0.000

a b c (Å): 5.654 5.654 5.654
angles (deg): 90.00 90.00 90.00
Positions (direct):
K1 0.500 0.500 0.500
Te1 0.000 0.500 0.000
Te2 0.000 0.000 0.500
Te3 0.500 0.000 0.000
Hf1 0.000 0.000 0.000

Calculated relative energies: i 0.0; ii 2.3, given in kJ/mol of atoms

i:
This record from the Alexandria database describes a relaxed TaCd2Mo crystal. The functional is PBE-GGA.

- mass density (g/cm³) = 11.392
- space group = No. 139
- Fermi-level density of states (states/eV/cell) = 1.3
- spin magnetization (Bohr magnetons per cell) = 0.000

a b c (Å): 5.431 5.431 5.431
angles (deg): 137.17 137.17 62.17
Positions (direct):
Cd1 0.000 0.000 0.000
Cd2 0.500 0.500 0.000
Mo1 0.250 0.750 0.500
Ta1 0.750 0.250 0.500

ii:
This record from the Alexandria database describes a relaxed TaCd2Mo crystal. The functional is PBE-GGA.

- mass density (g/cm³) = 11.160
- space group = No. 6
- Fermi-level density of states (states/eV/cell) = 2.8
- spin magnetization (Bohr magnetons per cell) = 0.000

a b c (Å): 4.628 2.855 5.680
angles (deg): 84.08 90.00 90.00
Positions (direct):
Cd1 0.000 0.121 0.990
Cd2 0.500 0.135 0.261
Mo1 0.000 0.523 0.508
Ta1 0.500 0.720 0.741

Calculated relative energies: i 0.0; ii 1.1, given in kJ/mol of atoms